DFT (PBE with a Hubbard U) results for a geometry-optimized FeSbF2 structure.

Cell and atoms, written as POSCAR:
```
FeSbF2
1.0
-3.095 4.812 -2.943
-2.496 -4.179 -4.208
-5.851 -0.217 -1.234
Sb F Fe
2 4 2
direct
0.750 0.250 0.500 Sb
0.000 0.000 0.000 Sb
0.875 0.719 0.750 F
0.469 0.125 0.250 F
0.281 0.625 0.250 F
0.375 0.531 0.750 F
0.500 0.500 0.000 Fe
0.250 0.750 0.500 Fe
```

Properties
The calculation puts the distance to the lowest polymorph of the same formula at 172 meV per atom. The calculated total energy comes out at -4.564 eV/atom. Its space-group type is I-42d. As for the total magnetic moment: 0.999 μB/atom. For the density of states at the Fermi level, the calculation gives 0.141 states/eV per atom. As for the crystal system: tetragonal.